Here is a relaxed structure of NdDy7Y4 from the Alexandria database. Energies are from GGA-PBE.

Computed properties:
The density of states at the Fermi level comes out at 1.738 states/eV per atom. For the distance to the lowest polymorph of the same formula, the calculation gives 269.3 meV per atom. The formation energy is 0.268 eV per atom. The value obtained for the total magnetization is 0.0000 μB/atom.

abc: 6.7083 6.7083 12.6941
angles: 115.07 115.07 52.12
Closest atoms and distances in Å follow each position.
Fractional coordinates of all 12 atoms:
Nd 0.0000 0.0000 0.0000  4 Dy 2.95-3.12
Dy 0.0606 0.0606 0.3277  4 Dy 3.28-3.54, 3 Y 3.60-3.67
Dy 0.2104 0.2104 0.9227  1 Nd 3.12, 4 Dy 3.15-3.42, 4 Y 3.28-3.38
Dy 0.3669 0.3669 0.4977  4 Dy 3.18-3.54, 3 Y 3.28-3.47
Dy 0.5000 0.5000 0.0000  2 Nd 2.95, 2 Dy 3.15
Dy 0.6331 0.6331 0.5023  4 Dy 3.18-3.54, 3 Y 3.28-3.47
Dy 0.7896 0.7896 0.0773  1 Nd 3.12, 4 Dy 3.15-3.42, 4 Y 3.28-3.38
Dy 0.9394 0.9394 0.6723  4 Dy 3.28-3.54, 3 Y 3.60-3.67
Y 0.2488 0.2488 0.6832  5 Dy 3.28-3.67
Y 0.3676 0.3676 0.2247  7 Dy 3.38-3.60, 2 Y 3.68
Y 0.6324 0.6324 0.7753  7 Dy 3.38-3.60, 2 Y 3.68
Y 0.7512 0.7512 0.3168  5 Dy 3.28-3.67

---

Here is a relaxed structure of Nd3Dy4Y4 from the Alexandria database. Energies are from GGA-PBE.

Computed properties:
The density of states at the Fermi level comes out at 1.402 states/eV per atom. For the distance to the lowest polymorph of the same formula, the calculation gives 13.2 meV per atom. The formation energy is 0.173 eV per atom. The value obtained for the total magnetization is 0.0000 μB/atom.

abc: 11.0041 11.0041 11.0041
angles: 161.32 118.45 64.93
Closest atoms and distances in Å follow each position.
Fractional coordinates of all 11 atoms:
Nd 0.0000 0.0000 0.0000  2 Nd 3.57, 4 Dy 3.74
Nd 0.3921 0.8921 0.5000  6 Dy 3.56-3.60, 2 Nd 3.57, 4 Y 3.63
Nd 0.6079 0.1079 0.5000  6 Dy 3.56-3.60, 2 Nd 3.57, 4 Y 3.63
Dy 0.2235 0.2235 0.0000  6 Y 3.38-3.54, 2 Dy 3.57, 2 Nd 3.60
Dy 0.2922 0.5000 0.7922  2 Y 3.22, 4 Nd 3.56, 2 Dy 3.57
Dy 0.7078 0.5000 0.2078  2 Y 3.22, 4 Nd 3.56, 2 Dy 3.57
Dy 0.7765 0.7765 0.0000  6 Y 3.38-3.54, 2 Dy 3.57, 2 Nd 3.60
Y 0.0686 0.3295 0.7391  4 Dy 3.22-3.54, 4 Y 3.46-3.57
Y 0.4096 0.6705 0.7391  4 Dy 3.22-3.54, 4 Y 3.46-3.57
Y 0.5904 0.3295 0.2609  4 Dy 3.22-3.54, 4 Y 3.46-3.57
Y 0.9314 0.6705 0.2609  4 Dy 3.22-3.54, 4 Y 3.46-3.57

---

Here is a relaxed structure of Nd3Dy4Y4 from the Alexandria database. Energies are from GGA-PBE.

Computed properties:
The density of states at the Fermi level comes out at 1.625 states/eV per atom. For the distance to the lowest polymorph of the same formula, the calculation gives 0.0 meV per atom. The formation energy is 0.159 eV per atom. The value obtained for the total magnetization is 0.0000 μB/atom.

abc: 10.6201 6.7018 6.7018
angles: 50.75 90.00 90.00
Closest atoms and distances in Å follow each position.
Fractional coordinates of all 11 atoms:
Nd 0.0000 0.0000 0.0000  7 Y 3.58-3.79, 5 Dy 3.60-3.78, 2 Nd 3.60
Nd 0.2911 0.1531 0.1531  5 Dy 3.35-3.73, 4 Y 3.56-3.64, 1 Nd 3.60
Nd 0.7089 0.1531 0.1531  5 Dy 3.35-3.73, 4 Y 3.56-3.64, 1 Nd 3.60
Dy 0.0000 0.2971 0.2971  4 Y 3.08-3.28
Dy 0.2987 0.8500 0.8500  4 Y 3.39-3.63, 2 Dy 3.58, 4 Nd 3.66-3.73
Dy 0.5000 0.3604 0.3604  3 Y 3.30-3.47, 2 Nd 3.35, 4 Dy 3.58
Dy 0.7013 0.8500 0.8500  4 Y 3.39-3.63, 2 Dy 3.58, 4 Nd 3.66-3.73
Y 0.0000 0.7044 0.7044  2 Dy 3.08, 2 Y 3.39
Y 0.2112 0.4948 0.4948  4 Dy 3.28-3.49, 2 Y 3.39-3.49, 4 Nd 3.56-3.64
Y 0.5000 0.6326 0.6326  3 Dy 3.30-3.39, 2 Y 3.49, 4 Nd 3.64
Y 0.7888 0.4948 0.4948  4 Dy 3.28-3.49, 2 Y 3.39-3.49, 4 Nd 3.56-3.64

---

Here is a relaxed structure of Nd6Dy2Y from the Alexandria database. Energies are from GGA-PBE.

Computed properties:
The density of states at the Fermi level comes out at 1.416 states/eV per atom. For the distance to the lowest polymorph of the same formula, the calculation gives 45.3 meV per atom. The formation energy is 0.127 eV per atom. The value obtained for the total magnetization is 0.0000 μB/atom.

abc: 10.0741 10.0741 3.6755
angles: 90.00 90.00 124.07
Closest atoms and distances in Å follow each position.
Fractional coordinates of all 9 atoms:
Nd 0.0111 0.3411 0.0000  6 Nd 3.33-3.68, 2 Dy 3.58
Nd 0.1826 0.1826 0.5000  7 Nd 3.45-3.68, 2 Y 3.52
Nd 0.3411 0.0111 0.0000  6 Nd 3.33-3.68, 2 Dy 3.58
Nd 0.6589 0.9889 0.0000  6 Nd 3.33-3.68, 2 Dy 3.58
Nd 0.8174 0.8174 0.5000  7 Nd 3.45-3.68, 2 Y 3.52
Nd 0.9889 0.6589 0.0000  6 Nd 3.33-3.68, 2 Dy 3.58
Dy 0.3224 0.6776 0.5000  8 Nd 3.58-3.74, 2 Y 3.66, 2 Dy 3.68
Dy 0.6776 0.3224 0.5000  8 Nd 3.58-3.74, 2 Y 3.66, 2 Dy 3.68
Y 0.5000 0.5000 0.0000  4 Nd 3.52, 4 Dy 3.66, 2 Y 3.68

---

Here is a relaxed structure of Nd2DyY from the Alexandria database. Energies are from GGA-PBE.

Computed properties:
The density of states at the Fermi level comes out at 1.643 states/eV per atom. For the distance to the lowest polymorph of the same formula, the calculation gives 9.1 meV per atom. The formation energy is 0.019 eV per atom. The value obtained for the total magnetization is 0.0000 μB/atom.

abc: 5.1398 5.1398 5.0722
angles: 90.00 90.00 90.00
Closest atoms and distances in Å follow each position.
Fractional coordinates of all 4 atoms:
Nd 0.0000 0.5000 0.0000  4 Dy 3.61, 4 Y 3.61, 4 Nd 3.63
Nd 0.5000 0.0000 0.0000  4 Dy 3.61, 4 Y 3.61, 4 Nd 3.63
Dy 0.0000 0.0000 0.5000  8 Nd 3.61, 4 Y 3.63
Y 0.5000 0.5000 0.5000  8 Nd 3.61, 4 Dy 3.63

---

Here is a relaxed structure of Nd2Dy8Y from the Alexandria database. Energies are from GGA-PBE.

Computed properties:
The density of states at the Fermi level comes out at 1.581 states/eV per atom. For the distance to the lowest polymorph of the same formula, the calculation gives 14.8 meV per atom. The formation energy is 0.168 eV per atom. The value obtained for the total magnetization is 0.0000 μB/atom.

abc: 8.9441 8.9441 6.6663
angles: 99.14 99.14 43.64
Closest atoms and distances in Å follow each position.
Fractional coordinates of all 11 atoms:
Nd 0.2449 0.2449 0.3109  9 Dy 3.28-3.57
Nd 0.7551 0.7551 0.6891  9 Dy 3.28-3.57
Dy 0.1739 0.6514 0.5974  4 Dy 3.17-3.47, 2 Nd 3.28-3.48, 1 Y 3.32
Dy 0.1996 0.1996 0.8027  4 Nd 3.34-3.57, 3 Dy 3.45-3.72
Dy 0.3486 0.8261 0.4026  4 Dy 3.17-3.47, 2 Nd 3.28-3.48, 1 Y 3.32
Dy 0.4114 0.4114 0.0946  1 Nd 3.33, 8 Dy 3.39-3.72
Dy 0.5886 0.5886 0.9054  1 Nd 3.33, 8 Dy 3.39-3.72
Dy 0.6514 0.1739 0.5974  4 Dy 3.17-3.47, 2 Nd 3.28-3.48, 1 Y 3.32
Dy 0.8004 0.8004 0.1973  4 Nd 3.34-3.57, 3 Dy 3.45-3.72
Dy 0.8261 0.3486 0.4026  4 Dy 3.17-3.47, 2 Nd 3.28-3.48, 1 Y 3.32
Y 0.0000 0.0000 0.0000  4 Dy 3.32

---

Here is a relaxed structure of NdDy2Y3 from the Alexandria database. Energies are from GGA-PBE.

Computed properties:
The density of states at the Fermi level comes out at 1.834 states/eV per atom. The formation energy is 0.041 eV per atom. The value obtained for the total magnetization is 0.0000 μB/atom.

abc: 6.8132 7.1125 8.7285
angles: 101.84 97.44 104.92
Closest atoms and distances in Å follow each position.
Fractional coordinates of all 12 atoms:
Nd 0.2445 0.1931 0.0278  7 Y 3.41-3.64, 1 Nd 3.63, 2 Dy 3.68-3.69
Nd 0.7555 0.8069 0.9722  7 Y 3.41-3.64, 1 Nd 3.63, 2 Dy 3.68-3.69
Dy 0.3873 0.8878 0.6636  7 Y 3.49-3.81, 4 Dy 3.54-3.85, 2 Nd 3.68-3.85
Dy 0.3884 0.3855 0.6612  7 Y 3.47-3.81, 4 Dy 3.54-3.82, 2 Nd 3.69-3.87
Dy 0.6116 0.6145 0.3388  7 Y 3.47-3.81, 4 Dy 3.54-3.82, 2 Nd 3.69-3.87
Dy 0.6127 0.1122 0.3364  7 Y 3.49-3.81, 4 Dy 3.54-3.85, 2 Nd 3.68-3.85
Y 0.0823 0.9762 0.3343  4 Y 3.22-3.58, 2 Nd 3.41-3.51, 5 Dy 3.49-3.59
Y 0.0835 0.4808 0.3366  4 Y 3.19-3.56, 1 Dy 3.47, 1 Nd 3.51
Y 0.2457 0.6897 0.0204  4 Y 3.38-3.64, 4 Nd 3.46-3.64, 2 Dy 3.70-3.72
Y 0.7543 0.3103 0.9796  4 Y 3.38-3.64, 4 Nd 3.46-3.64, 2 Dy 3.70-3.72
Y 0.9165 0.5192 0.6634  4 Y 3.19-3.56, 1 Dy 3.47, 1 Nd 3.51
Y 0.9177 0.0238 0.6657  4 Y 3.22-3.58, 2 Nd 3.41-3.51, 5 Dy 3.49-3.59

---

Here is a relaxed structure of Nd3Dy4Y from the Alexandria database. Energies are from GGA-PBE.

Computed properties:
The density of states at the Fermi level comes out at 1.772 states/eV per atom. For the distance to the lowest polymorph of the same formula, the calculation gives 0.0 meV per atom. The formation energy is 0.022 eV per atom. The value obtained for the total magnetization is 0.0001 μB/atom.

abc: 11.5159 7.3405 6.3223
angles: 90.00 90.00 90.00
Closest atoms and distances in Å follow each position.
Fractional coordinates of all 16 atoms:
Nd 0.0000 0.1279 0.0000  4 Nd 3.58, 6 Dy 3.59-3.72, 2 Y 3.67-3.69
Nd 0.2504 0.1270 0.3353  6 Dy 3.57-3.71, 2 Y 3.58-3.59, 4 Nd 3.58-3.67
Nd 0.2496 0.8730 0.8353  6 Dy 3.57-3.71, 2 Y 3.58-3.59, 4 Nd 3.58-3.67
Nd 0.5000 0.8721 0.5000  4 Nd 3.58, 6 Dy 3.59-3.72, 2 Y 3.67-3.69
Nd 0.7496 0.1270 0.3353  6 Dy 3.57-3.71, 2 Y 3.58-3.59, 4 Nd 3.58-3.67
Nd 0.7504 0.8730 0.8353  6 Dy 3.57-3.71, 2 Y 3.58-3.59, 4 Nd 3.58-3.67
Dy 0.0000 0.3771 0.4999  6 Dy 3.54-3.63, 4 Nd 3.57-3.65, 2 Y 3.62-3.72
Dy 0.0000 0.6210 0.0001  6 Dy 3.55-3.63, 4 Nd 3.57-3.72, 2 Y 3.65-3.66
Dy 0.2487 0.6217 0.3325  6 Dy 3.54-3.63, 1 Y 3.56, 5 Nd 3.59-3.71
Dy 0.2513 0.3783 0.8325  6 Dy 3.54-3.63, 1 Y 3.56, 5 Nd 3.59-3.71
Dy 0.5000 0.3790 0.5001  6 Dy 3.55-3.63, 4 Nd 3.57-3.72, 2 Y 3.65-3.66
Dy 0.5000 0.6229 0.9999  6 Dy 3.54-3.63, 4 Nd 3.57-3.65, 2 Y 3.62-3.72
Dy 0.7487 0.3783 0.8325  6 Dy 3.54-3.63, 1 Y 3.56, 5 Nd 3.59-3.71
Dy 0.7513 0.6217 0.3325  6 Dy 3.54-3.63, 1 Y 3.56, 5 Nd 3.59-3.71
Y 0.0000 0.8708 0.4984  6 Dy 3.56-3.72, 6 Nd 3.58-3.69
Y 0.5000 0.1292 0.9984  6 Dy 3.56-3.72, 6 Nd 3.58-3.69

---

Here is a relaxed structure of Nd3Dy3YZn2 from the Alexandria database. Energies are from GGA-PBE.

Computed properties:
The density of states at the Fermi level comes out at 1.566 states/eV per atom. The formation energy is 0.001 eV per atom. The value obtained for the total magnetization is 0.0000 μB/atom.

abc: 9.1957 9.1957 3.6068
angles: 90.00 90.00 120.00
Closest atoms and distances in Å follow each position.
Fractional coordinates of all 9 atoms:
Nd 0.0000 0.6836 0.0000  2 Zn 3.15, 2 Dy 3.38, 2 Y 3.42
Nd 0.3164 0.3164 0.0000  2 Zn 3.15, 2 Dy 3.38, 2 Y 3.42
Nd 0.6836 0.0000 0.0000  2 Zn 3.15, 2 Dy 3.38, 2 Y 3.42
Dy 0.0000 0.3723 0.5000  6 Nd 3.38-3.67, 4 Zn 3.42, 1 Y 3.42, 2 Dy 3.61
Dy 0.3723 0.0000 0.5000  6 Nd 3.38-3.67, 4 Zn 3.42, 1 Y 3.42, 2 Dy 3.61
Dy 0.6277 0.6277 0.5000  6 Nd 3.38-3.67, 4 Zn 3.42, 1 Y 3.42, 2 Dy 3.61
Y 0.0000 0.0000 0.5000  6 Nd 3.42, 3 Dy 3.42, 2 Y 3.61
Zn 0.3333 0.6667 0.0000  3 Nd 3.15, 6 Dy 3.42
Zn 0.6667 0.3333 0.0000  3 Nd 3.15, 6 Dy 3.42

---

Here is a relaxed structure of Nd3Dy2Y6Zr from the Alexandria database. Energies are from GGA-PBE.

Computed properties:
The density of states at the Fermi level comes out at 1.349 states/eV per atom. The formation energy is 0.048 eV per atom. The value obtained for the total magnetization is 0.0000 μB/atom.

abc: 6.1673 6.1673 11.7455
angles: 95.00 95.00 119.95
Closest atoms and distances in Å follow each position.
Fractional coordinates of all 12 atoms:
Nd 0.0000 0.0000 0.0000  6 Nd 3.56-3.57, 6 Y 3.62-3.65
Nd 0.3339 0.6661 0.0000  6 Nd 3.55-3.57, 6 Y 3.61-3.66
Nd 0.6661 0.3339 0.0000  6 Nd 3.55-3.57, 6 Y 3.61-3.66
Dy 0.1667 0.8333 0.5000  6 Y 3.48, 3 Zr 3.56, 3 Dy 3.56
Dy 0.8333 0.1667 0.5000  6 Y 3.48, 3 Zr 3.56, 3 Dy 3.56
Y 0.0933 0.4199 0.2584  1 Zr 3.44, 2 Dy 3.48, 6 Y 3.49-3.60, 3 Nd 3.61-3.66
Y 0.2538 0.2538 0.7414  1 Zr 3.44, 2 Dy 3.48, 6 Y 3.49-3.60, 3 Nd 3.62-3.65
Y 0.4199 0.0933 0.2584  1 Zr 3.44, 2 Dy 3.48, 6 Y 3.49-3.60, 3 Nd 3.61-3.66
Y 0.5801 0.9067 0.7416  1 Zr 3.44, 2 Dy 3.48, 6 Y 3.49-3.60, 3 Nd 3.61-3.66
Y 0.7462 0.7462 0.2586  1 Zr 3.44, 2 Dy 3.48, 6 Y 3.49-3.60, 3 Nd 3.62-3.65
Y 0.9067 0.5801 0.7416  1 Zr 3.44, 2 Dy 3.48, 6 Y 3.49-3.60, 3 Nd 3.61-3.66
Zr 0.5000 0.5000 0.5000  6 Y 3.44, 6 Dy 3.56

---

Here is a relaxed structure of Nd2Dy6Y3Zr from the Alexandria database. Energies are from GGA-PBE.

Computed properties:
The density of states at the Fermi level comes out at 1.296 states/eV per atom. The formation energy is 0.054 eV per atom. The value obtained for the total magnetization is 0.0000 μB/atom.

abc: 6.1270 6.1270 11.7254
angles: 94.96 94.96 119.92
Closest atoms and distances in Å follow each position.
Fractional coordinates of all 12 atoms:
Nd 0.1667 0.8333 0.0000  6 Dy 3.51-3.52, 3 Zr 3.54, 3 Nd 3.54
Nd 0.8333 0.1667 0.0000  6 Dy 3.51-3.52, 3 Zr 3.54, 3 Nd 3.54
Dy 0.0913 0.4176 0.7535  6 Dy 3.46-3.58, 1 Zr 3.48, 2 Nd 3.51-3.52, 3 Y 3.56-3.60
Dy 0.2563 0.2563 0.2462  6 Dy 3.46-3.58, 1 Zr 3.47, 2 Nd 3.52, 3 Y 3.56-3.60
Dy 0.4176 0.0913 0.7535  6 Dy 3.46-3.58, 1 Zr 3.48, 2 Nd 3.51-3.52, 3 Y 3.56-3.60
Dy 0.5824 0.9087 0.2465  6 Dy 3.46-3.58, 1 Zr 3.48, 2 Nd 3.51-3.52, 3 Y 3.56-3.60
Dy 0.7437 0.7437 0.7538  6 Dy 3.46-3.58, 1 Zr 3.47, 2 Nd 3.52, 3 Y 3.56-3.60
Dy 0.9087 0.5824 0.2465  6 Dy 3.46-3.58, 1 Zr 3.48, 2 Nd 3.51-3.52, 3 Y 3.56-3.60
Y 0.0000 0.0000 0.5000  6 Y 3.54, 6 Dy 3.56-3.60
Y 0.3336 0.6664 0.5000  6 Y 3.53-3.54, 6 Dy 3.56-3.60
Y 0.6664 0.3336 0.5000  6 Y 3.53-3.54, 6 Dy 3.56-3.60
Zr 0.5000 0.5000 0.0000  6 Dy 3.47-3.48, 6 Nd 3.54